No. 1
VASP calculation (PBE) on a relaxed structure of ScZnAg.

Properties
ΔE_f = -0.22 eV per atom
Calculated total energy = -3.708 eV per atom
SG = P2_1/m

Unit cell a=4.6330 b=4.6577 c=5.6178 alpha=90.00 beta=114.31 gamma=90.00
Closest atoms and distances in Å follow each position.
Element x y z (fractional)
Sc: 0.2503 0.2500 0.9997  4 Ag 2.91-2.93, 4 Zn 2.96-2.97
Sc: 0.7497 0.7500 0.0003  4 Ag 2.91-2.93, 4 Zn 2.96-2.97
Zn: 0.0677 0.7500 0.6388  2 Zn 2.73, 2 Ag 2.76, 4 Sc 2.96-2.97
Zn: 0.9323 0.2500 0.3612  2 Zn 2.73, 2 Ag 2.76, 4 Sc 2.96-2.97
Ag: 0.4217 0.7500 0.3467  2 Zn 2.76, 2 Ag 2.81, 4 Sc 2.91-2.93
Ag: 0.5783 0.2500 0.6533  2 Zn 2.76, 2 Ag 2.81, 4 Sc 2.91-2.93

=====

No. 2
VASP calculation (PBE) on a relaxed structure of Be2TlInO.

Properties
Calculated total energy = -3.347 eV per atom
SG = P4/mmm

Unit cell a=3.9009 b=3.9009 c=5.5677 alpha=90.00 beta=90.00 gamma=90.00
Closest atoms and distances in Å follow each position.
Element x y z (fractional)
Be: 0.0000 0.5000 0.0000  2 O 1.95
Be: 0.5000 0.0000 0.0000  2 O 1.95
Tl: 0.0000 0.0000 0.5000  4 In 2.76, 2 O 2.78
In: 0.5000 0.5000 0.5000  4 Tl 2.76
O: 0.0000 0.0000 0.0000  4 Be 1.95

=====

No. 3
VASP calculation (PBE) on a relaxed structure of Ce8PrPb6.

Properties
ΔE_f = -0.22 eV per atom
Calculated total energy = -5.184 eV per atom
SG = R-3

Unit cell a=8.5836 b=8.5836 c=8.5836 alpha=67.82 beta=67.82 gamma=67.82
Closest atoms and distances in Å follow each position.
Element x y z (fractional)
Ce: 0.0701 0.4074 0.7430  5 Pb 3.20-3.28
Ce: 0.1664 0.1664 0.1664  6 Pb 3.51-3.52, 6 Ce 3.67
Ce: 0.2570 0.9299 0.5926  5 Pb 3.20-3.28
Ce: 0.4074 0.7430 0.0701  5 Pb 3.20-3.28
Ce: 0.5926 0.2570 0.9299  5 Pb 3.20-3.28
Ce: 0.7430 0.0701 0.4074  5 Pb 3.20-3.28
Ce: 0.8336 0.8336 0.8336  6 Pb 3.51-3.52, 6 Ce 3.67
Ce: 0.9299 0.5926 0.2570  5 Pb 3.20-3.28
Pr: 0.5000 0.5000 0.5000  6 Pb 3.49, 6 Ce 3.71
Pb: 0.0951 0.7582 0.4262  7 Ce 3.20-3.52, 1 Pr 3.49
Pb: 0.2418 0.5738 0.9049  7 Ce 3.20-3.52, 1 Pr 3.49
Pb: 0.4262 0.0951 0.7582  7 Ce 3.20-3.52, 1 Pr 3.49
Pb: 0.5738 0.9049 0.2418  7 Ce 3.20-3.52, 1 Pr 3.49
Pb: 0.7582 0.4262 0.0951  7 Ce 3.20-3.52, 1 Pr 3.49
Pb: 0.9049 0.2418 0.5738  7 Ce 3.20-3.52, 1 Pr 3.49

=====

No. 4
VASP calculation (PBE) on a relaxed structure of CdAsBr2.

Properties
Energy above the lowest structure with this stoichiometry = 295 meV per atom
Calculated total energy = -2.211 eV per atom
SG = R-3m

Unit cell a=3.7584 b=3.7584 c=31.6253 alpha=90.00 beta=90.00 gamma=120.00
Closest atoms and distances in Å follow each position.
Element x y z (fractional)
Cd: 0.0000 0.0000 0.0000  6 Br 2.77
Cd: 0.3333 0.6667 0.6667  6 Br 2.77
Cd: 0.6667 0.3333 0.3333  6 Br 2.77
As: 0.0000 0.0000 0.5000  6 As 3.76, 6 Br 4.16
As: 0.3333 0.6667 0.1667  6 As 3.76, 6 Br 4.16
As: 0.6667 0.3333 0.8333  6 As 3.76, 6 Br 4.16
Br: 0.0000 0.0000 0.2788  3 Cd 2.77
Br: 0.0000 0.0000 0.7212  3 Cd 2.77
Br: 0.3333 0.6667 0.3879  3 Cd 2.77
Br: 0.3333 0.6667 0.9454  3 Cd 2.77
Br: 0.6667 0.3333 0.0546  3 Cd 2.77
Br: 0.6667 0.3333 0.6121  3 Cd 2.77